The following is a DFT calculation (GGA-PBE) of a relaxed MnCo4Re crystal.

It has space group Pmma (No. 51), with a = 7.913 Å, b = 2.524 Å, c = 6.871 Å, α = 90.00°, β = 90.00° and γ = 90.00°. The distinct sites, in fractional coordinates, are Mn at (0.250, 0.000, 0.178), Co at (0.000, 0.000, 0.000), Co at (0.019, 0.500, 0.323), Co at (0.250, 0.500, 0.870) and Re at (0.250, 0.000, 0.534).

The value obtained for the distance to the lowest polymorph of the same formula is 0.0000 eV/atom. For the total energy, the calculation gives -98.9 eV per cell.